First-principles (GGA-PBEsol) data for a relaxed structure of Li3PtPb, as listed in Alexandria via LeMat-Bulk.

```
data_Li3PtPb
_chemical_formula_sum 'Li3 Pt1 Pb1'
_cell_length_a 4.642
_cell_length_b 4.642
_cell_length_c 4.642
_cell_angle_alpha 90.00
_cell_angle_beta 90.00
_cell_angle_gamma 90.00
_symmetry_space_group_name_H-M 'P m -3 m'
_symmetry_Int_Tables_number 221
_symmetry_space_group_name_Hall '-P 4 2 3'
loop_
_atom_site_label
_atom_site_type_symbol
_atom_site_fract_x
_atom_site_fract_y
_atom_site_fract_z
Li1 Li 0.000 0.000 0.500
Pt1 Pt 0.000 0.000 0.000
Pb1 Pb 0.500 0.500 0.500
```

Output
distance to the lowest polymorph of the same formula: 0.000 eV/atom
magnetization: 0.000 μB/atom
Fermi-level density of states: 1.785 states/eV/f.u.
volume: 20.0 A^3/atom
energy of formation: -0.27 eV per formula unit
E: -0.12590 Ha/atom

---

First-principles (GGA-PBEsol) data for a relaxed structure of Li2PtPb, as listed in Alexandria via LeMat-Bulk.

```
data_Li2PtPb
_chemical_formula_sum 'Li2 Pt1 Pb1'
_cell_length_a 4.047
_cell_length_b 4.047
_cell_length_c 4.031
_cell_angle_alpha 90.00
_cell_angle_beta 90.00
_cell_angle_gamma 90.00
_symmetry_space_group_name_H-M 'P 4/m m m'
_symmetry_Int_Tables_number 123
_symmetry_space_group_name_Hall '-P 4 2'
loop_
_atom_site_label
_atom_site_type_symbol
_atom_site_fract_x
_atom_site_fract_y
_atom_site_fract_z
Li1 Li 0.000 0.500 0.000
Pt1 Pt 0.000 0.000 0.500
Pb1 Pb 0.500 0.500 0.500
```

Output
magnetization: 0.000 μB/atom
Fermi-level density of states: 1.384 states/eV/f.u.
volume: 16.5 A^3/atom
energy of formation: -1.50 eV per formula unit
E: -0.15060 Ha/atom

---

First-principles (GGA-PBEsol) data for a relaxed structure of LiPtPb2, as listed in Alexandria via LeMat-Bulk.

```
data_LiPtPb2
_chemical_formula_sum 'Li2 Pt2 Pb4'
_cell_length_a 4.813
_cell_length_b 4.917
_cell_length_c 6.895
_cell_angle_alpha 90.00
_cell_angle_beta 90.00
_cell_angle_gamma 90.00
_symmetry_space_group_name_H-M 'I m m m'
_symmetry_Int_Tables_number 71
_symmetry_space_group_name_Hall '-I 2 2'
loop_
_atom_site_label
_atom_site_type_symbol
_atom_site_fract_x
_atom_site_fract_y
_atom_site_fract_z
Li1 Li 0.000 0.000 0.000
Pt1 Pt 0.000 0.000 0.500
Pb1 Pb 0.000 0.500 0.251
```

Output
distance to the lowest polymorph of the same formula: 0.001 eV/atom
magnetization: 0.000 μB/atom
Fermi-level density of states: 2.280 states/eV/f.u.
volume: 20.4 A^3/atom
energy of formation: -0.85 eV per formula unit
E: -0.16336 Ha/atom

---

First-principles (GGA-PBEsol) data for a relaxed structure of LiPtPb2, as listed in Alexandria via LeMat-Bulk.

```
data_LiPtPb2
_chemical_formula_sum 'Li1 Pt1 Pb2'
_cell_length_a 3.346
_cell_length_b 3.346
_cell_length_c 7.479
_cell_angle_alpha 90.00
_cell_angle_beta 90.00
_cell_angle_gamma 90.00
_symmetry_space_group_name_H-M 'P 4 m m'
_symmetry_Int_Tables_number 99
_symmetry_space_group_name_Hall 'P 4 -2'
loop_
_atom_site_label
_atom_site_type_symbol
_atom_site_fract_x
_atom_site_fract_y
_atom_site_fract_z
Li1 Li 0.000 0.000 0.000
Pt1 Pt 0.500 0.500 0.851
Pb1 Pb 0.000 0.000 0.615
Pb2 Pb 0.500 0.500 0.240
```

Output
distance to the lowest polymorph of the same formula: 0.028 eV/atom
magnetization: 0.000 μB/atom
Fermi-level density of states: 1.915 states/eV/f.u.
volume: 20.9 A^3/atom
energy of formation: -0.74 eV per formula unit
E: -0.16236 Ha/atom

---

First-principles (GGA-PBEsol) data for a relaxed structure of LiPt3Pb, as listed in Alexandria via LeMat-Bulk.

```
data_LiPt3Pb
_chemical_formula_sum 'Li1 Pt3 Pb1'
_cell_length_a 5.043
_cell_length_b 5.043
_cell_length_c 5.043
_cell_angle_alpha 90.00
_cell_angle_beta 90.00
_cell_angle_gamma 90.00
_symmetry_space_group_name_H-M 'P m -3 m'
_symmetry_Int_Tables_number 221
_symmetry_space_group_name_Hall '-P 4 2 3'
loop_
_atom_site_label
_atom_site_type_symbol
_atom_site_fract_x
_atom_site_fract_y
_atom_site_fract_z
Li1 Li 0.000 0.000 0.000
Pt1 Pt 0.000 0.500 0.500
Pb1 Pb 0.500 0.500 0.500
```

Output
magnetization: 0.000 μB/atom
Fermi-level density of states: 4.587 states/eV/f.u.
volume: 25.7 A^3/atom
energy of formation: 5.20 eV per formula unit
E: -0.15918 Ha/atom

---

First-principles (GGA-PBEsol) data for a relaxed structure of LiPt2Pb, as listed in Alexandria via LeMat-Bulk.

```
data_LiPt2Pb
_chemical_formula_sum 'Li1 Pt2 Pb1'
_cell_length_a 4.046
_cell_length_b 4.046
_cell_length_c 3.960
_cell_angle_alpha 90.00
_cell_angle_beta 90.00
_cell_angle_gamma 90.00
_symmetry_space_group_name_H-M 'P 4/m m m'
_symmetry_Int_Tables_number 123
_symmetry_space_group_name_Hall '-P 4 2'
loop_
_atom_site_label
_atom_site_type_symbol
_atom_site_fract_x
_atom_site_fract_y
_atom_site_fract_z
Li1 Li 0.000 0.000 0.000
Pt1 Pt 0.000 0.500 0.500
Pb1 Pb 0.500 0.500 0.000
```

Output
magnetization: 0.000 μB/atom
Fermi-level density of states: 1.330 states/eV/f.u.
volume: 16.2 A^3/atom
energy of formation: -1.42 eV per formula unit
E: -0.19578 Ha/atom

---

First-principles (GGA-PBEsol) data for a relaxed structure of LiPtPb2, as listed in Alexandria via LeMat-Bulk.

```
data_LiPtPb2
_chemical_formula_sum 'Li2 Pt2 Pb4'
_cell_length_a 4.276
_cell_length_b 3.830
_cell_length_c 10.163
_cell_angle_alpha 90.00
_cell_angle_beta 90.00
_cell_angle_gamma 90.00
_symmetry_space_group_name_H-M 'A m m 2'
_symmetry_Int_Tables_number 38
_symmetry_space_group_name_Hall 'A 2 -2'
loop_
_atom_site_label
_atom_site_type_symbol
_atom_site_fract_x
_atom_site_fract_y
_atom_site_fract_z
Li1 Li 0.000 0.000 0.000
Pt1 Pt 0.500 0.000 0.143
Pb1 Pb 0.000 0.000 0.718
Pb2 Pb 0.500 0.000 0.433
```

Output
distance to the lowest polymorph of the same formula: 0.000 eV/atom
magnetization: 0.000 μB/atom
Fermi-level density of states: 1.665 states/eV/f.u.
volume: 20.8 A^3/atom
energy of formation: -0.86 eV per formula unit
E: -0.16339 Ha/atom

---

First-principles (GGA-PBEsol) data for a relaxed structure of Li2Pt2Pb, as listed in Alexandria via LeMat-Bulk.

```
data_Li2Pt2Pb
_chemical_formula_sum 'Li4 Pt4 Pb2'
_cell_length_a 3.762
_cell_length_b 3.762
_cell_length_c 12.315
_cell_angle_alpha 90.00
_cell_angle_beta 90.00
_cell_angle_gamma 90.00
_symmetry_space_group_name_H-M 'I 4/m m m'
_symmetry_Int_Tables_number 139
_symmetry_space_group_name_Hall '-I 4 2'
loop_
_atom_site_label
_atom_site_type_symbol
_atom_site_fract_x
_atom_site_fract_y
_atom_site_fract_z
Li1 Li 0.000 0.500 0.250
Pt1 Pt 0.000 0.000 0.108
Pb1 Pb 0.000 0.000 0.500
```

Output
magnetization: 0.000 μB/atom
Fermi-level density of states: 1.501 states/eV/f.u.
volume: 17.4 A^3/atom
energy of formation: -0.53 eV per formula unit
E: -0.16455 Ha/atom

---

First-principles (GGA-PBEsol) data for a relaxed structure of Li2PtPb, as listed in Alexandria via LeMat-Bulk.

```
data_Li2PtPb
_chemical_formula_sum 'Li4 Pt2 Pb2'
_cell_length_a 4.043
_cell_length_b 4.043
_cell_length_c 8.065
_cell_angle_alpha 90.00
_cell_angle_beta 90.00
_cell_angle_gamma 90.00
_symmetry_space_group_name_H-M 'I 4/m m m'
_symmetry_Int_Tables_number 139
_symmetry_space_group_name_Hall '-I 4 2'
loop_
_atom_site_label
_atom_site_type_symbol
_atom_site_fract_x
_atom_site_fract_y
_atom_site_fract_z
Li1 Li 0.000 0.500 0.250
Pt1 Pt 0.000 0.000 0.000
Pb1 Pb 0.000 0.000 0.500
```

Output
magnetization: 0.000 μB/atom
Fermi-level density of states: 1.522 states/eV/f.u.
volume: 16.5 A^3/atom
energy of formation: -1.51 eV per formula unit
E: -0.15073 Ha/atom

---

First-principles (GGA-PBEsol) data for a relaxed structure of LiPtPb2, as listed in Alexandria via LeMat-Bulk.

```
data_LiPtPb2
_chemical_formula_sum 'Li3 Pt3 Pb6'
_cell_length_a 3.5740
_cell_length_b 3.5740
_cell_length_c 24.9942
_cell_angle_alpha 90.00
_cell_angle_beta 90.00
_cell_angle_gamma 120.00
_symmetry_space_group_name_H-M 'R -3 m'
_symmetry_Int_Tables_number 166
_symmetry_space_group_name_Hall '-R 3 2"'
loop_
_atom_site_label
_atom_site_type_symbol
_atom_site_fract_x
_atom_site_fract_y
_atom_site_fract_z
Li1 Li 0.0000 0.0000 0.0000
Pt1 Pt 0.0000 0.0000 0.5000
Pb1 Pb 0.0000 0.0000 0.2416
```

Output
distance to the lowest polymorph of the same formula: 0.095 eV/atom
magnetization: 0.000 μB/atom
Fermi-level density of states: 2.062 states/eV/f.u.
volume: 23.0 A^3/atom
energy of formation: -0.48 eV per formula unit
E: -0.15991 Ha/atom

---

Which of these has the lowest E?
LiPt2Pb